Entry 1:
Here is a relaxed IBr3O crystal from Alexandria via LeMat-Bulk. Energies are from PBE.

Unit cell a=4.910 b=4.910 c=4.910 alpha=90.00 beta=90.00 gamma=90.00
Fractional coordinates of all 5 atoms:
I 0.500 0.500 0.500
O 0.000 0.000 0.000
Br 0.000 0.500 0.000
Br 0.000 0.000 0.500
Br 0.500 0.000 0.000

## Properties
uncorrected energy: -1.62 eV per atom
formation energy (no corrections): 0.684 eV/atom
relative energy among the computed polymorphs: 0.0 meV/atom
space group: Pm-3m (221)

=====

Entry 2:
Here is a relaxed MgSi2S crystal from Alexandria via LeMat-Bulk. Energies are from PBE.

Unit cell a=6.177 b=6.177 c=6.433 alpha=61.31 beta=61.31 gamma=90.00
Fractional coordinates of all 8 atoms:
Mg 0.500 0.500 0.000
Mg 0.250 0.750 0.500
S 0.000 0.000 0.000
S 0.750 0.250 0.500
Si 0.669 0.125 0.250
Si 0.081 0.625 0.250
Si 0.375 0.331 0.750
Si 0.875 0.919 0.750

## Properties
uncorrected energy: -3.80 eV per atom
formation energy (no corrections): 0.341 eV/atom
relative energy among the computed polymorphs: 0.0 meV/atom
space group: I-42d (122)

=====

Entry 3:
Here is a relaxed MgPaSiAg crystal from Alexandria via LeMat-Bulk. Energies are from PBE.

Unit cell a=4.878 b=4.878 c=4.878 alpha=60.00 beta=60.00 gamma=60.00
Fractional coordinates of all 4 atoms:
Si 0.750 0.750 0.750
Pa 0.500 0.500 0.500
Mg 0.000 0.000 0.000
Ag 0.250 0.250 0.250

## Properties
uncorrected energy: -4.89 eV per atom
formation energy (no corrections): -0.044 eV/atom
space group: F-43m (216)

=====

Entry 4:
Here is a relaxed TiRh2C crystal from Alexandria via LeMat-Bulk. Energies are from PBE.

Unit cell a=5.304 b=5.304 c=5.865 alpha=63.12 beta=63.12 gamma=90.00
Fractional coordinates of all 8 atoms:
C 0.500 0.500 0.000
C 0.250 0.750 0.500
Rh 0.539 0.125 0.250
Rh 0.211 0.625 0.250
Rh 0.375 0.461 0.750
Rh 0.875 0.789 0.750
Ti 0.000 0.000 0.000
Ti 0.750 0.250 0.500

## Properties
uncorrected energy: -7.79 eV per atom
space group: I-42d (122)

=====

Entry 5:
Here is a relaxed Si2P crystal from Alexandria via LeMat-Bulk. Energies are from PBE.

Unit cell a=3.720 b=4.409 c=13.619 alpha=90.00 beta=90.00 gamma=90.00
Fractional coordinates of all 12 atoms:
Si 0.000 0.500 0.387
Si 0.500 0.000 0.887
Si 0.000 0.500 0.728
Si 0.500 0.000 0.228
Si 0.000 0.500 0.051
Si 0.500 0.000 0.551
Si 0.000 0.000 0.655
Si 0.500 0.500 0.155
P 0.000 0.000 0.330
P 0.500 0.500 0.830
P 0.000 0.000 0.988
P 0.500 0.500 0.488

## Properties
uncorrected energy: -5.35 eV per atom
formation energy (no corrections): 0.069 eV/atom
relative energy among the computed polymorphs: 65.5 meV/atom
space group: Imm2 (44)

=====

Entry 6:
Here is a relaxed PmUOs2 crystal from Alexandria via LeMat-Bulk. Energies are from PBE.

Unit cell a=3.722 b=3.722 c=7.716 alpha=76.04 beta=76.04 gamma=60.00
Fractional coordinates of all 4 atoms:
Os 0.260 0.260 0.220
Os 0.740 0.740 0.780
U 0.000 0.000 0.000
Pm 0.500 0.500 0.500

## Properties
uncorrected energy: -9.41 eV per atom
relative energy among the computed polymorphs: 271.8 meV/atom
space group: R-3m (166)

=====

Entry 7:
Here is a relaxed MoPbCl2 crystal from Alexandria via LeMat-Bulk. Energies are from PBE.

Unit cell a=4.655 b=4.655 c=4.319 alpha=90.00 beta=90.00 gamma=89.98
Fractional coordinates of all 4 atoms:
Pb 0.000 0.500 0.500
Mo 0.500 0.000 0.500
Cl 0.000 0.000 0.000
Cl 0.500 0.500 0.000

## Properties
uncorrected energy: -4.14 eV per atom
formation energy (no corrections): 0.420 eV/atom
relative energy among the computed polymorphs: 635.2 meV/atom
space group: P4/mmm (123)

=====

Entry 8:
Here is a relaxed Pa3GeC crystal from Alexandria via LeMat-Bulk. Energies are from PBE.

Unit cell a=5.712 b=8.461 c=8.461 alpha=80.82 beta=90.02 gamma=90.02
Fractional coordinates of all 20 atoms:
Pa 0.750 0.770 0.982
Pa 0.750 0.018 0.230
Pa 0.250 0.230 0.018
Pa 0.250 0.982 0.770
Pa 0.750 0.428 0.081
Pa 0.750 0.919 0.572
Pa 0.250 0.572 0.919
Pa 0.250 0.081 0.428
Pa 0.750 0.517 0.730
Pa 0.750 0.270 0.483
Pa 0.250 0.483 0.270
Pa 0.250 0.730 0.517
Ge 0.250 0.864 0.136
Ge 0.750 0.136 0.864
Ge 0.250 0.364 0.636
Ge 0.750 0.636 0.364
C 0.000 0.752 0.753
C 0.500 0.247 0.248
C 0.000 0.248 0.247
C 0.500 0.753 0.752

## Properties
uncorrected energy: -8.78 eV per atom
relative energy among the computed polymorphs: 13.0 meV/atom
space group: Cmcm (63)

=====

Entry 9:
Here is a relaxed TaFe2Ni crystal from Alexandria via LeMat-Bulk. Energies are from PBE.

Unit cell a=3.685 b=3.685 c=3.694 alpha=90.00 beta=90.00 gamma=90.00
Fractional coordinates of all 4 atoms:
Ni 0.500 0.000 0.500
Fe 0.000 0.000 0.000
Fe 0.500 0.500 0.000
Ta 0.000 0.500 0.500

## Properties
uncorrected energy: -8.80 eV per atom
space group: P4/mmm (123)

=====

Entry 10:
Here is a relaxed Pr7BP2O17 crystal from Alexandria via LeMat-Bulk. Energies are from PBE.

Unit cell a=17.940 b=6.986 c=13.556 alpha=66.76 beta=90.00 gamma=90.00
Fractional coordinates of all 108 atoms:
Pr 0.274 0.795 0.180
Pr 0.774 0.205 0.320
Pr 0.482 0.797 0.212
Pr 0.776 0.718 0.595
Pr 0.107 0.305 0.699
Pr 0.607 0.695 0.801
Pr 0.867 0.222 0.569
Pr 0.724 0.718 0.095
Pr 0.726 0.205 0.820
Pr 0.893 0.695 0.301
Pr 0.367 0.778 0.931
Pr 0.633 0.222 0.069
Pr 0.446 0.282 0.492
Pr 0.554 0.718 0.508
Pr 0.982 0.203 0.288
Pr 0.154 0.810 0.928
Pr 0.346 0.810 0.428
Pr 0.226 0.795 0.680
Pr 0.054 0.282 0.992
Pr 0.276 0.282 0.905
Pr 0.946 0.718 0.008
Pr 0.846 0.190 0.072
Pr 0.018 0.797 0.712
Pr 0.654 0.190 0.572
Pr 0.224 0.282 0.405
Pr 0.518 0.203 0.788
Pr 0.133 0.778 0.431
Pr 0.393 0.305 0.199
B 0.068 0.247 0.502
B 0.432 0.247 0.002
B 0.932 0.753 0.498
B 0.568 0.753 0.998
P 0.699 0.714 0.335
P 0.199 0.286 0.165
P 0.439 0.783 0.682
P 0.939 0.217 0.818
P 0.561 0.217 0.318
P 0.801 0.714 0.835
P 0.301 0.286 0.665
P 0.061 0.783 0.182
O 0.014 0.191 0.582
O 0.754 0.369 0.125
O 0.542 0.369 0.597
O 0.746 0.369 0.625
O 0.244 0.423 0.695
O 0.363 0.425 0.592
O 0.890 0.322 0.374
O 0.767 0.094 0.508
O 0.380 0.400 0.000
O 0.504 0.401 0.275
O 0.744 0.577 0.805
O 0.169 0.128 0.273
O 0.514 0.809 0.918
O 0.254 0.631 0.375
O 0.256 0.423 0.195
O 0.863 0.575 0.908
O 0.868 0.052 0.258
O 0.080 0.156 0.430
O 0.986 0.809 0.418
O 0.738 0.829 0.398
O 0.132 0.948 0.742
O 0.996 0.401 0.775
O 0.120 0.400 0.500
O 0.262 0.171 0.602
O 0.958 0.369 0.097
O 0.390 0.678 0.126
O 0.145 0.200 0.882
O 0.355 0.200 0.382
O 0.238 0.171 0.102
O 0.420 0.156 0.930
O 0.136 0.721 0.238
O 0.486 0.191 0.082
O 0.880 0.600 0.500
O 0.527 0.025 0.303
O 0.137 0.425 0.092
O 0.004 0.599 0.225
O 0.864 0.279 0.762
O 0.473 0.975 0.697
O 0.027 0.975 0.197
O 0.368 0.948 0.242
O 0.973 0.025 0.803
O 0.636 0.279 0.262
O 0.435 0.852 0.558
O 0.645 0.800 0.618
O 0.580 0.844 0.070
O 0.331 0.128 0.773
O 0.855 0.800 0.118
O 0.733 0.094 0.008
O 0.920 0.844 0.570
O 0.935 0.148 0.942
O 0.756 0.577 0.305
O 0.620 0.600 0.000
O 0.496 0.599 0.725
O 0.065 0.852 0.058
O 0.762 0.829 0.898
O 0.669 0.872 0.227
O 0.110 0.678 0.626
O 0.610 0.322 0.874
O 0.637 0.575 0.408
O 0.233 0.906 0.492
O 0.632 0.052 0.758
O 0.042 0.631 0.903
O 0.267 0.906 0.992
O 0.458 0.631 0.403
O 0.246 0.631 0.875
O 0.831 0.872 0.727
O 0.364 0.721 0.738
O 0.565 0.148 0.442

## Properties
uncorrected energy: -8.13 eV per atom
formation energy (no corrections): -3.121 eV/atom
space group: P2_1/c (14)